Entry 1:
First-principles (GGA-PBE) data for an optimized crystal structure of NbSiSnC2, as listed in Alexandria.

formation energy without anion corrections: 2421.5 meV per atom

Lattice parameters (Å, degrees): 4.0978 5.3094 4.0978 90.00 90.00 90.00
Last column: nearest neighbours and their distance in Å.
Atoms (fractional coordinates):
C (0.0000, 0.0000, 0.5000)  2 Sn 2.05
C (0.5000, 0.0000, 0.0000)  2 Sn 2.05
Nb (0.5000, 0.5000, 0.5000)  4 Si 2.90
Si (0.0000, 0.5000, 0.0000)  2 Sn 2.65, 4 Nb 2.90
Sn (0.0000, 0.0000, 0.0000)  4 C 2.05

=====

Entry 2:
First-principles (GGA-PBE) data for an optimized crystal structure of NbSi2TeC, as listed in Alexandria.

formation energy without anion corrections: 2140.5 meV per atom

Lattice parameters (Å, degrees): 5.0711 4.0207 5.0711 90.00 90.00 90.00
Last column: nearest neighbours and their distance in Å.
Atoms (fractional coordinates):
C (0.0000, 0.5000, 0.0000)  2 Te 2.01
Nb (0.5000, 0.5000, 0.5000)  8 Si 3.24, 4 C 3.59
Te (0.0000, 0.0000, 0.0000)  2 C 2.01
Si (0.0000, 0.0000, 0.5000)  2 Te 2.54
Si (0.5000, 0.0000, 0.0000)  2 Te 2.54

=====

Entry 3:
First-principles (GGA-PBE) data for an optimized crystal structure of YNb2SiC, as listed in Alexandria.

formation energy without anion corrections: 3131.8 meV per atom

Lattice parameters (Å, degrees): 4.9376 5.0152 4.9376 90.00 90.00 90.00
Last column: nearest neighbours and their distance in Å.
Atoms (fractional coordinates):
Y (0.0000, 0.0000, 0.0000)  4 Nb 2.47, 2 Si 2.51
C (0.5000, 0.5000, 0.5000)  4 Si 3.49, 8 Nb 3.52
Nb (0.0000, 0.0000, 0.5000)  2 Y 2.47
Nb (0.5000, 0.0000, 0.0000)  2 Y 2.47
Si (0.0000, 0.5000, 0.0000)  2 Y 2.51